# Cr4AgS8

Crystalline Cr4AgS8 at its relaxed geometry (GGA-PBE, Alexandria via LeMat-Bulk).

Geometry as extended XYZ:
```
13
Lattice="6.735 0.000 0.000 3.368 5.833 0.000 3.368 1.944 5.499" Properties=species:S:1:pos:R:3 pbc="T T T"
S 1.637 0.945 0.668
S 3.368 3.943 0.668
S 3.368 1.944 3.495
S 5.099 0.945 0.668
S 6.735 3.889 0.998
S 8.166 4.715 3.334
S 5.305 4.715 3.334
S 6.735 2.237 3.334
Ag 10.103 5.833 4.125
Cr 8.699 2.755 1.948
Cr 6.735 3.889 5.155
Cr 6.735 6.156 1.948
Cr 4.772 2.755 1.948
```

Output
The crystal system is cubic. Its total moment is 0.191 μB per atom. The density of states at the Fermi level is 5.57 states/eV/cell. As for the total energy: -80.737 eV for the cell shown.

=====

# Cr3AgS

Crystalline Cr3AgS at its relaxed geometry (GGA-PBE, Alexandria via LeMat-Bulk).

Geometry as extended XYZ:
```
5
Lattice="4.981 0.000 0.000 0.000 4.981 0.000 0.000 0.000 4.981" Properties=species:S:1:pos:R:3 pbc="T T T"
S 2.490 2.490 2.490
Cr 2.490 0.000 0.000
Cr 0.000 2.490 0.000
Cr 0.000 0.000 2.490
Ag 0.000 0.000 0.000
```

Output
The crystal system is cubic. Its total moment is 2.747 μB per atom. The density of states at the Fermi level is 7.04 states/eV/cell. As for the total energy: -28.281 eV for the cell shown. Its energy above the lowest structure with this stoichiometry is 968.0 meV per atom.

=====

# Cr3AgS

Crystalline Cr3AgS at its relaxed geometry (GGA-PBE, Alexandria via LeMat-Bulk).

Geometry as extended XYZ:
```
5
Lattice="4.184 0.000 0.000 0.000 4.184 0.000 0.000 0.000 4.184" Properties=species:S:1:pos:R:3 pbc="T T T"
Cr 0.000 2.092 0.000
Cr 2.092 0.000 0.000
Cr 0.000 0.000 2.092
Ag 2.092 2.092 2.092
S 0.000 0.000 0.000
```

Output
The crystal system is cubic. Its total moment is 0.226 μB per atom. The density of states at the Fermi level is 6.51 states/eV/cell. As for the total energy: -33.121 eV for the cell shown. Its energy above the lowest structure with this stoichiometry is 0.0 meV per atom.

=====

# CrAg3S

Crystalline CrAg3S at its relaxed geometry (GGA-PBE, Alexandria via LeMat-Bulk).

Geometry as extended XYZ:
```
5
Lattice="-0.235 1.813 4.491 -1.774 -4.216 1.609 4.506 -1.565 0.868" Properties=species:S:1:pos:R:3 pbc="T T T"
Cr 0.000 0.000 0.000
S 1.248 -1.984 3.484
Ag 2.253 -0.782 0.434
Ag -0.118 0.907 2.245
Ag -0.887 -2.108 0.805
```

Output
The crystal system is cubic. Its total moment is 0.000 μB per atom. The density of states at the Fermi level is 13.09 states/eV/cell. As for the total energy: -14.334 eV for the cell shown. Its energy above the lowest structure with this stoichiometry is 904.3 meV per atom.

=====

# ScCrAg2S

Crystalline ScCrAg2S at its relaxed geometry (GGA-PBE, Alexandria via LeMat-Bulk).

Geometry as extended XYZ:
```
5
Lattice="5.265 0.000 0.000 0.000 5.265 0.000 0.000 0.000 4.671" Properties=species:S:1:pos:R:3 pbc="T T T"
Sc 0.000 0.000 0.000
Ag 0.000 2.632 0.000
Ag 2.632 0.000 0.000
S 0.000 0.000 2.335
Cr 2.632 2.632 2.335
```

Output
The crystal system is tetragonal. Its total moment is 0.936 μB per atom. The density of states at the Fermi level is 2.60 states/eV/cell. As for the total energy: -23.137 eV for the cell shown.

=====

# CrAgSnSe2S2

Crystalline CrAgSnSe2S2 at its relaxed geometry (GGA-PBE, Alexandria via LeMat-Bulk).

Geometry as extended XYZ:
```
14
Lattice="5.512 -5.256 -0.794 -4.779 -5.392 2.594 -1.839 4.357 -6.023" Properties=species:S:1:pos:R:3 pbc="T T T"
Sn 1.405 -6.929 -0.619
Sn -2.321 -2.110 -3.140
Se -1.183 -6.708 0.247
Se 0.234 -1.842 -4.089
Se -2.344 0.514 -3.888
Se 1.061 -4.227 -0.771
S -2.260 -4.630 -2.497
S -3.817 -4.249 0.393
S -1.619 -1.817 -0.633
S -4.786 -2.312 -2.274
Cr -1.446 -4.217 -0.223
Cr 0.151 0.678 -4.465
Ag 0.724 -10.505 1.775
Ag 2.033 -3.292 -2.928
```

Output
The crystal system is orthorhombic. Its total moment is 0.423 μB per atom. The density of states at the Fermi level is 2.43 states/eV/cell. As for the total energy: -69.320 eV for the cell shown.

=====

# Cr2SiAg2S6

Crystalline Cr2SiAg2S6 at its relaxed geometry (GGA-PBE, Alexandria via LeMat-Bulk).

Geometry as extended XYZ:
```
11
Lattice="5.776 0.045 0.787 -2.816 5.043 0.787 -0.279 -0.479 7.265" Properties=species:S:1:pos:R:3 pbc="T T T"
S -1.838 3.411 2.989
S 1.726 2.967 6.040
S 3.874 0.088 2.989
S 0.956 1.643 2.798
S 4.520 1.198 5.849
S -1.192 4.522 5.849
Cr 0.104 3.025 4.419
Cr 2.578 1.585 4.419
Ag -1.484 4.268 0.787
Ag 4.444 0.820 0.787
Si -0.139 -0.239 3.632
```

Output
The crystal system is monoclinic. Its total moment is 0.361 μB per atom. The density of states at the Fermi level is 1.34 states/eV/cell. As for the total energy: -60.302 eV for the cell shown.

=====

# CrAgSnS4

Crystalline CrAgSnS4 at its relaxed geometry (GGA-PBE, Alexandria via LeMat-Bulk).

Geometry as extended XYZ:
```
14
Lattice="7.452 0.007 0.013 -0.015 7.452 -0.013 -3.600 -3.848 5.269" Properties=species:S:1:pos:R:3 pbc="T T T"
S 0.231 0.054 2.592
S 1.873 -2.152 5.232
S 1.959 1.676 0.198
S 1.965 5.763 0.037
S 3.596 0.043 2.443
S 3.606 3.557 2.678
S 1.879 1.935 5.072
S 0.241 3.568 2.826
Ag -1.893 -0.210 3.949
Ag 5.731 3.821 1.320
Sn 1.926 -1.920 2.641
Sn 0.000 0.000 0.000
Cr 3.726 0.003 0.006
Cr 1.919 1.805 2.635
```

Output
The crystal system is orthorhombic. Its total moment is 0.425 μB per atom. The density of states at the Fermi level is 2.45 states/eV/cell. As for the total energy: -72.599 eV for the cell shown.

=====

# SrCrAg2S4

Crystalline SrCrAg2S4 at its relaxed geometry (GGA-PBE, Alexandria via LeMat-Bulk).

Geometry as extended XYZ:
```
8
Lattice="-4.538 1.326 -4.634 0.026 -2.736 -5.538 -5.493 -2.820 -0.157" Properties=species:S:1:pos:R:3 pbc="T T T"
S -4.296 -1.242 -2.620
S -0.819 -1.703 -2.672
S -7.514 -3.016 -5.949
S -7.382 -2.500 -9.416
Ag -3.915 -2.099 -6.224
Ag -6.090 -2.132 -4.104
Cr -2.733 -2.778 -2.847
Sr 0.000 0.000 0.000
```

Output
The crystal system is orthorhombic. Its total moment is 0.250 μB per atom. The density of states at the Fermi level is 1.01 states/eV/cell. As for the total energy: -39.210 eV for the cell shown.

=====

# TaCr3Ag2S8

Crystalline TaCr3Ag2S8 at its relaxed geometry (GGA-PBE, Alexandria via LeMat-Bulk).

Geometry as extended XYZ:
```
28
Lattice="-1.861 5.960 1.757 -5.503 -3.001 4.345 9.729 -0.600 8.434" Properties=species:S:1:pos:R:3 pbc="T T T"
S -2.266 2.524 3.652
S 5.271 3.807 10.461
S 2.415 2.339 13.028
S 1.419 -1.454 9.194
S -0.027 0.063 1.540
S -2.089 2.485 7.441
S 0.220 0.232 5.484
S -2.908 -1.277 4.178
S 2.130 2.087 8.783
S 0.780 3.635 5.261
S 7.501 1.722 8.647
S 4.514 -0.135 10.843
S 4.777 3.552 6.855
S 4.500 -0.267 7.089
S -5.180 0.655 5.922
S -2.255 -1.083 7.924
Cr -0.942 2.240 5.401
Cr 3.823 3.654 8.831
Cr -2.028 4.185 1.824
Cr -3.684 0.756 7.634
Cr 5.929 1.656 7.013
Cr -5.389 -1.200 4.342
Ta 3.169 0.027 9.016
Ta -1.357 -1.409 5.828
Ag 0.985 2.408 11.001
Ag -4.826 2.653 4.030
Ag 1.703 -0.044 3.330
Ag -2.530 0.418 2.078
```

Output
The crystal system is triclinic. Its total moment is 0.643 μB per atom. The density of states at the Fermi level is 9.93 states/eV/cell. As for the total energy: -171.208 eV for the cell shown. Its energy above the lowest structure with this stoichiometry is 200.0 meV per atom.

=====

# TaCr3Ag2S8

Crystalline TaCr3Ag2S8 at its relaxed geometry (GGA-PBE, Alexandria via LeMat-Bulk).

Geometry as extended XYZ:
```
14
Lattice="6.949 0.000 0.000 0.000 6.006 0.010 0.000 0.130 6.497" Properties=species:S:1:pos:R:3 pbc="T T T"
S 5.181 4.074 1.874
S 3.474 1.070 1.957
S 0.000 1.053 1.831
S 5.181 2.062 4.633
S 1.768 2.062 4.633
S 3.474 5.066 4.550
S 0.000 5.083 4.677
S 1.768 4.074 1.874
Cr 3.474 3.068 3.254
Cr 5.229 0.065 3.249
Cr 1.720 0.065 3.249
Ag 5.040 0.000 0.000
Ag 1.909 0.000 0.000
Ta 0.000 3.068 3.254
```

Output
The crystal system is monoclinic. Its total moment is 0.643 μB per atom. The density of states at the Fermi level is 0.76 states/eV/cell. As for the total energy: -88.078 eV for the cell shown. Its energy above the lowest structure with this stoichiometry is 23.3 meV per atom.

=====

# TaCr3Ag2S8

Crystalline TaCr3Ag2S8 at its relaxed geometry (GGA-PBE, Alexandria via LeMat-Bulk).

Geometry as extended XYZ:
```
28
Lattice="6.479 0.010 -0.048 -0.069 7.654 -0.072 -1.044 -1.773 12.704" Properties=species:S:1:pos:R:3 pbc="T T T"
Ag 0.379 0.850 3.614
Ag 3.733 3.019 12.620
Ag 4.987 5.042 8.969
Ag 1.633 2.873 -0.036
Cr 4.883 0.841 -0.026
Cr 3.742 6.806 3.500
Cr 0.482 5.050 12.609
Cr 3.766 2.929 3.463
Cr 1.600 2.963 9.121
Cr 1.624 -0.915 9.084
S 4.826 4.861 4.294
S 3.669 -0.806 7.943
S 4.876 4.979 11.459
S 0.672 5.029 1.403
S 1.697 6.698 4.641
S 1.406 3.156 11.312
S 3.728 2.898 8.197
S 1.762 -1.024 11.341
S 3.604 6.916 1.243
S 4.693 0.863 11.180
S 3.960 2.735 1.272
S 0.540 1.031 8.290
S 0.490 0.913 1.125
S 0.820 4.809 8.158
S 1.638 2.993 4.386
S 4.546 1.083 4.426
Ta 4.760 0.965 8.920
Ta 0.606 4.927 3.664
```

Output
The crystal system is triclinic. Its total moment is 0.643 μB per atom. The density of states at the Fermi level is 10.59 states/eV/cell. As for the total energy: -171.197 eV for the cell shown. Its energy above the lowest structure with this stoichiometry is 200.4 meV per atom.

=====

# TaCr3Ag2S8

Crystalline TaCr3Ag2S8 at its relaxed geometry (GGA-PBE, Alexandria via LeMat-Bulk).

Geometry as extended XYZ:
```
28
Lattice="-0.287 5.056 3.189 -4.887 -2.850 4.078 2.297 -8.794 14.150" Properties=species:S:1:pos:R:3 pbc="T T T"
S -1.267 -1.250 9.387
S -0.437 2.164 4.008
S -2.441 -8.751 17.409
S -2.274 -4.551 8.865
S -0.021 -7.360 15.382
S -1.559 -1.027 3.340
S -1.318 -5.560 18.077
S -3.685 -2.677 11.392
S 0.807 -3.910 10.025
S 0.125 -3.086 6.725
S -1.610 -5.337 12.031
S -2.856 0.773 6.036
S 1.080 -4.065 15.955
S -3.002 -3.501 14.693
S -3.957 -2.522 5.462
S -0.603 -2.035 12.552
Cr -2.818 -1.487 13.322
Cr -1.439 -3.293 10.709
Cr -1.494 4.340 4.201
Cr -1.383 -10.927 17.217
Cr -2.587 1.103 3.634
Cr -0.059 -5.100 8.096
Ta 1.005 -1.869 8.670
Ta -0.144 2.528 1.594
Ag -0.741 -7.656 12.881
Ag 0.466 -0.291 4.741
Ag 1.544 -3.447 12.598
Ag -2.136 1.069 8.536
```

Output
The crystal system is monoclinic. Its total moment is 0.643 μB per atom. The density of states at the Fermi level is 1.71 states/eV/cell. As for the total energy: -175.963 eV for the cell shown. Its energy above the lowest structure with this stoichiometry is 30.2 meV per atom.

=====

# TaCr3Ag2S8

Crystalline TaCr3Ag2S8 at its relaxed geometry (GGA-PBE, Alexandria via LeMat-Bulk).

Geometry as extended XYZ:
```
28
Lattice="-5.938 -2.648 -3.186 3.496 -0.080 -6.448 3.240 -9.520 1.874" Properties=species:S:1:pos:R:3 pbc="T T T"
Ag 0.594 -6.771 0.406
Ag -2.335 -3.116 -5.399
Ag 3.132 -9.132 -2.361
Ag -3.293 -5.397 -1.718
S -0.301 -6.909 -6.191
S 1.479 -11.408 -5.584
S 1.291 -0.885 -5.816
S -0.231 -3.796 -4.211
S 0.995 -8.451 -3.489
S 0.243 -9.930 -8.067
S 0.987 -5.388 -1.629
S -0.659 -0.830 -2.164
S 4.031 -2.397 -6.107
S -1.630 -9.637 -4.976
S -0.517 -11.373 -1.957
S -1.992 -3.453 -1.059
S -1.816 -6.823 -3.131
S 2.724 -5.376 -4.569
S -0.688 -8.716 -0.287
S 2.460 -2.612 -2.846
Cr -1.180 -9.179 -2.581
Cr 0.643 -9.198 -5.826
Cr 0.203 -3.028 -1.908
Cr 3.488 -0.080 -6.435
Cr -2.962 -1.324 -1.606
Cr 1.927 -3.090 -5.205
Ta 0.513 -6.127 -4.091
Ta 3.253 -4.797 -2.076
```

Output
The crystal system is orthorhombic. Its total moment is 0.628 μB per atom. The density of states at the Fermi level is 6.45 states/eV/cell. As for the total energy: -176.454 eV for the cell shown. Its energy above the lowest structure with this stoichiometry is 12.6 meV per atom.

=====

# TaCr3Ag2S8

Crystalline TaCr3Ag2S8 at its relaxed geometry (GGA-PBE, Alexandria via LeMat-Bulk).

Geometry as extended XYZ:
```
28
Lattice="7.192 0.000 0.000 0.000 7.351 0.000 0.000 0.000 10.284" Properties=species:S:1:pos:R:3 pbc="T T T"
Cr 5.332 0.000 5.142
Cr 1.860 0.000 0.000
Cr 5.333 3.676 5.142
Cr 1.859 3.676 0.000
Cr 0.000 5.515 2.571
Cr 0.000 1.836 7.713
S 6.881 1.837 5.321
S 1.781 3.854 2.431
S 1.781 3.497 7.853
S 1.777 0.168 7.852
S 3.713 5.513 5.028
S 3.479 5.513 0.114
S 5.415 0.168 7.574
S 5.411 3.854 2.711
S 3.713 1.838 5.256
S 5.411 3.497 7.573
S 3.479 1.838 10.171
S 5.415 7.184 2.710
S 0.311 1.837 10.106
S 1.777 7.184 2.432
S 0.311 5.514 0.179
S 6.881 5.514 4.964
Ta 3.596 5.526 2.571
Ta 3.596 1.825 7.713
Ag 5.543 5.505 9.010
Ag 5.543 1.846 1.275
Ag 1.649 1.846 3.868
Ag 1.649 5.505 6.417
```

Output
The crystal system is orthorhombic. Its total moment is 0.643 μB per atom. The density of states at the Fermi level is 2.37 states/eV/cell. As for the total energy: -176.617 eV for the cell shown. Its energy above the lowest structure with this stoichiometry is 6.8 meV per atom.

=====

# TaCr3Ag2S8

Crystalline TaCr3Ag2S8 at its relaxed geometry (GGA-PBE, Alexandria via LeMat-Bulk).

Geometry as extended XYZ:
```
28
Lattice="-1.225 0.172 -3.243 -9.555 -4.305 3.380 -4.621 12.128 2.386" Properties=species:S:1:pos:R:3 pbc="T T T"
Cr -4.869 3.399 2.018
Cr -7.252 9.562 3.244
Cr -11.245 7.992 2.812
Cr -8.082 -2.105 2.941
Cr -8.948 2.054 1.630
Cr -5.395 6.573 0.527
S -9.026 7.964 3.830
S -3.148 1.705 1.279
S -7.174 -1.854 0.754
S -6.655 2.289 0.777
S -3.469 7.484 1.706
S -8.482 3.619 3.394
S -6.682 8.608 1.121
S -11.361 5.471 2.722
S -12.161 7.742 5.001
S -8.496 0.325 3.225
S -5.613 11.252 2.715
S -5.964 5.434 2.540
S -10.271 -2.325 1.898
S -4.213 -1.201 -0.330
S -11.206 1.989 2.479
S -4.295 4.543 0.005
Ag -8.400 6.456 1.656
Ag -5.881 0.124 2.227
Ag -4.396 9.914 0.327
Ag -10.961 -0.511 4.112
Ta -10.754 3.649 4.254
Ta -2.627 0.567 -0.835
```

Output
The crystal system is orthorhombic. Its total moment is 0.626 μB per atom. The density of states at the Fermi level is 11.08 states/eV/cell. As for the total energy: -173.757 eV for the cell shown. Its energy above the lowest structure with this stoichiometry is 109.0 meV per atom.

=====

# TaCr3Ag2S8

Crystalline TaCr3Ag2S8 at its relaxed geometry (GGA-PBE, Alexandria via LeMat-Bulk).

Geometry as extended XYZ:
```
28
Lattice="-5.184 -2.153 3.241 -0.733 -5.801 -4.899 8.630 -5.187 7.879" Properties=species:S:1:pos:R:3 pbc="T T T"
S 5.494 -5.955 8.011
S 2.921 -8.327 8.188
S 0.869 -5.470 1.553
S -0.979 -4.731 4.301
S 4.604 -5.442 4.335
S 0.818 -8.195 -0.906
S -0.186 -4.774 -2.032
S 2.322 -11.545 5.823
S -2.798 -7.166 -1.838
S 1.975 -4.974 6.918
S -1.711 -7.808 1.962
S 3.764 -8.410 1.999
S -2.622 -4.110 1.094
S 1.819 -7.724 4.748
S 5.331 -8.984 5.190
S 0.270 -1.535 0.502
Ta 4.447 -7.444 9.915
Ta 1.219 -5.967 -0.681
Ag -1.591 -2.698 -0.989
Ag 4.333 -10.402 7.193
Ag 1.910 -3.230 1.556
Ag 0.836 -9.994 4.389
Cr 1.572 -7.154 6.883
Cr 3.961 -7.649 4.095
Cr 6.648 -10.838 4.301
Cr -1.452 -8.310 -0.336
Cr -1.342 -5.505 2.266
Cr 4.183 -4.811 6.533
```

Output
The crystal system is triclinic. Its total moment is 0.643 μB per atom. The density of states at the Fermi level is 9.51 states/eV/cell. As for the total energy: -171.183 eV for the cell shown. Its energy above the lowest structure with this stoichiometry is 200.9 meV per atom.